(P)
! CdBiAu3 | Alexandria | PBE | optimized geometry; values from VASP
! Space-group type   No. 221
! Spin magnetization   0.0 μB per cell
&SYSTEM
  ibrav = 0, nat = 5, ntyp = 3
/
ATOMIC_SPECIES
Cd 112.41 Cd.upf
Au 196.97 Au.upf
Bi 208.98 Bi.upf
ATOMIC_POSITIONS crystal
Cd 0.500 0.500 0.500
Au 0.500 0.000 0.000
Au 0.000 0.000 0.500
Au 0.000 0.500 0.000
Bi 0.000 0.000 0.000
CELL_PARAMETERS angstrom
-0.336 -4.157 3.480
4.256 1.957 2.749
-3.357 2.897 3.136

(Q)
! CdBiAu3 | Alexandria | PBE | optimized geometry; values from VASP
! Space-group type   No. 11
! Spin magnetization   0.0 μB per cell
&SYSTEM
  ibrav = 0, nat = 10, ntyp = 3
/
ATOMIC_SPECIES
Au 196.97 Au.upf
Cd 112.41 Cd.upf
Bi 208.98 Bi.upf
ATOMIC_POSITIONS crystal
Au 0.013 0.759 0.750
Au 0.987 0.241 0.250
Au 0.315 0.627 0.047
Au 0.685 0.373 0.953
Au 0.315 0.627 0.453
Au 0.685 0.373 0.547
Cd 0.571 0.922 0.750
Cd 0.429 0.078 0.250
Bi 0.844 0.747 0.250
Bi 0.156 0.253 0.750
CELL_PARAMETERS angstrom
5.439 -0.104 0.000
-1.388 5.929 0.000
0.000 0.000 6.980

Ordering by calculated energy gives the sequence (Q), (P), with the first entry being the most stable.

(P)
! CeBi2Au | Alexandria | PBE | optimized geometry; values from VASP
! Space-group type   No. 129
! Spin magnetization   1.4 μB per cell
&SYSTEM
  ibrav = 0, nat = 8, ntyp = 3
/
ATOMIC_SPECIES
Bi 208.98 Bi.upf
Ce 140.12 Ce.upf
Au 196.97 Au.upf
ATOMIC_POSITIONS crystal
Bi 0.000 0.500 0.196
Bi 0.500 0.000 0.804
Bi 0.000 0.000 0.500
Bi 0.500 0.500 0.500
Ce 0.500 0.000 0.232
Ce 0.000 0.500 0.768
Au 0.000 0.000 0.000
Au 0.500 0.500 0.000
CELL_PARAMETERS angstrom
4.707 0.000 0.000
0.000 4.707 0.000
0.000 0.000 9.823

(Q)
! CeBi2Au | Alexandria | PBE | optimized geometry; values from VASP
! Space-group type   No. 166
! Spin magnetization   1.3 μB per cell
&SYSTEM
  ibrav = 0, nat = 4, ntyp = 3
/
ATOMIC_SPECIES
Ce 140.12 Ce.upf
Bi 208.98 Bi.upf
Au 196.97 Au.upf
ATOMIC_POSITIONS crystal
Ce 0.000 0.000 0.000
Bi 0.100 0.100 0.700
Bi 0.900 0.900 0.300
Au 0.500 0.500 0.500
CELL_PARAMETERS angstrom
3.558 0.000 0.000
1.779 3.081 0.000
1.779 1.027 10.865

Ordering by calculated energy gives the sequence (P), (Q), with the first entry being the most stable.

(P)
! CeInBiAu | Alexandria | PBE | optimized geometry; values from VASP
! Space-group type   No. 119
! Spin magnetization   1.1 μB per cell
&SYSTEM
  ibrav = 0, nat = 4, ntyp = 4
/
ATOMIC_SPECIES
Au 196.97 Au.upf
Bi 208.98 Bi.upf
In 114.82 In.upf
Ce 140.12 Ce.upf
ATOMIC_POSITIONS crystal
Au 0.500 0.500 0.000
Bi 0.000 0.000 0.000
In 0.250 0.750 0.500
Ce 0.750 0.250 0.500
CELL_PARAMETERS angstrom
-4.191 0.650 -2.181
-2.264 -0.724 4.135
3.452 4.541 -0.065

(Q)
! CeInBiAu | Alexandria | PBE | optimized geometry; values from VASP
! Space-group type   No. 216
! Spin magnetization   1.1 μB per cell
&SYSTEM
  ibrav = 0, nat = 4, ntyp = 4
/
ATOMIC_SPECIES
Ce 140.12 Ce.upf
In 114.82 In.upf
Bi 208.98 Bi.upf
Au 196.97 Au.upf
ATOMIC_POSITIONS crystal
Ce 0.750 0.750 0.750
In 0.250 0.250 0.250
Bi 0.500 0.500 0.500
Au 0.000 0.000 0.000
CELL_PARAMETERS angstrom
-3.720 -3.802 0.028
-0.894 -2.814 4.425
-4.506 0.708 2.737

Ordering by calculated energy gives the sequence (P), (Q), with the first entry being the most stable.

(P)
! BiAuCl2 | Alexandria | PBE | optimized geometry; values from VASP
! Space-group type   No. 122
! Spin magnetization   0.0 μB per cell
&SYSTEM
  ibrav = 0, nat = 8, ntyp = 3
/
ATOMIC_SPECIES
Cl 35.45 Cl.upf
Bi 208.98 Bi.upf
Au 196.97 Au.upf
ATOMIC_POSITIONS crystal
Cl 0.375 0.241 0.750
Cl 0.759 0.125 0.250
Cl 0.875 0.009 0.750
Cl 0.991 0.625 0.250
Bi 0.000 0.000 0.000
Bi 0.750 0.250 0.500
Au 0.250 0.750 0.500
Au 0.500 0.500 0.000
CELL_PARAMETERS angstrom
-8.799 -4.418 -0.586
1.155 -3.514 9.143
-5.012 -1.729 5.288

(Q)
! BiAuCl2 | Alexandria | PBE | optimized geometry; values from VASP
! Space-group type   No. 225
! Spin magnetization   0.0 μB per cell
&SYSTEM
  ibrav = 0, nat = 4, ntyp = 3
/
ATOMIC_SPECIES
Au 196.97 Au.upf
Cl 35.45 Cl.upf
Bi 208.98 Bi.upf
ATOMIC_POSITIONS crystal
Au 0.000 0.000 0.000
Cl 0.250 0.250 0.250
Cl 0.750 0.750 0.750
Bi 0.500 0.500 0.500
CELL_PARAMETERS angstrom
0.000 3.585 3.585
3.585 0.000 3.585
3.585 3.585 0.000

(R)
! BiAuCl2 | Alexandria | PBE | optimized geometry; values from VASP
! Space-group type   No. 166
! Spin magnetization   0.0 μB per cell
&SYSTEM
  ibrav = 0, nat = 4, ntyp = 3
/
ATOMIC_SPECIES
Cl 35.45 Cl.upf
Au 196.97 Au.upf
Bi 208.98 Bi.upf
ATOMIC_POSITIONS crystal
Cl 0.917 0.917 0.917
Cl 0.083 0.083 0.083
Au 0.000 0.000 0.000
Bi 0.500 0.500 0.500
CELL_PARAMETERS angstrom
-2.449 -9.279 -0.949
0.844 -9.601 0.320
-1.871 -9.112 2.543

(S)
! BiAuCl2 | Alexandria | PBE | optimized geometry; values from VASP
! Space-group type   No. 166
! Spin magnetization   0.0 μB per cell
&SYSTEM
  ibrav = 0, nat = 4, ntyp = 3
/
ATOMIC_SPECIES
Cl 35.45 Cl.upf
Bi 208.98 Bi.upf
Au 196.97 Au.upf
ATOMIC_POSITIONS crystal
Cl 0.898 0.898 0.898
Cl 0.102 0.102 0.102
Bi 0.000 0.000 0.000
Au 0.500 0.500 0.500
CELL_PARAMETERS angstrom
2.134 0.000 8.978
-1.067 1.848 8.978
-1.067 -1.848 8.978

Ordering by calculated energy gives the sequence (P), (R), (S), (Q), with the first entry being the most stable.

(P)
! Bi3AuCl | Alexandria | PBE | optimized geometry; values from VASP
! Space-group type   No. 221
! Spin magnetization   0.0 μB per cell
&SYSTEM
  ibrav = 0, nat = 5, ntyp = 3
/
ATOMIC_SPECIES
Bi 208.98 Bi.upf
Au 196.97 Au.upf
Cl 35.45 Cl.upf
ATOMIC_POSITIONS crystal
Bi 0.000 0.500 0.000
Bi 0.500 0.000 0.000
Bi 0.000 0.000 0.500
Au 0.500 0.500 0.500
Cl 0.000 0.000 0.000
CELL_PARAMETERS angstrom
5.477 0.000 0.000
0.000 5.477 0.000
0.000 0.000 5.477

(Q)
! Bi3AuCl | Alexandria | PBE | optimized geometry; values from VASP
! Space-group type   No. 12
! Spin magnetization   0.0 μB per cell
&SYSTEM
  ibrav = 0, nat = 10, ntyp = 3
/
ATOMIC_SPECIES
Bi 208.98 Bi.upf
Cl 35.45 Cl.upf
Au 196.97 Au.upf
ATOMIC_POSITIONS crystal
Bi 0.907 0.683 0.278
Bi 0.629 0.317 0.722
Bi 0.957 0.768 0.914
Bi 0.043 0.232 0.086
Bi 0.371 0.683 0.278
Bi 0.093 0.317 0.722
Cl 0.342 0.607 0.685
Cl 0.658 0.393 0.315
Au 0.793 0.962 0.587
Au 0.207 0.038 0.413
CELL_PARAMETERS angstrom
-1.254 6.960 1.328
-3.437 -1.934 6.895
7.055 -2.296 -0.801

(R)
! Bi3AuCl | Alexandria | PBE | optimized geometry; values from VASP
! Space-group type   No. 221
! Spin magnetization   0.0 μB per cell
&SYSTEM
  ibrav = 0, nat = 5, ntyp = 3
/
ATOMIC_SPECIES
Cl 35.45 Cl.upf
Bi 208.98 Bi.upf
Au 196.97 Au.upf
ATOMIC_POSITIONS crystal
Cl 0.500 0.500 0.500
Bi 0.000 0.500 0.000
Bi 0.000 0.000 0.500
Bi 0.500 0.000 0.000
Au 0.000 0.000 0.000
CELL_PARAMETERS angstrom
-0.768 -5.016 2.413
1.017 -2.521 -4.917
5.472 -0.236 1.252

Ordering by calculated energy gives the sequence (Q), (R), (P), with the first entry being the most stable.

(P)
! Bi2AuCl2 | Alexandria | PBE | optimized geometry; values from VASP
! Space-group type   No. 127
! Spin magnetization   0.0 μB per cell
&SYSTEM
  ibrav = 0, nat = 10, ntyp = 3
/
ATOMIC_SPECIES
Cl 35.45 Cl.upf
Au 196.97 Au.upf
Bi 208.98 Bi.upf
ATOMIC_POSITIONS crystal
Cl 0.320 0.820 0.500
Cl 0.820 0.680 0.500
Cl 0.680 0.180 0.500
Cl 0.180 0.320 0.500
Au 0.000 0.000 0.000
Au 0.500 0.500 0.000
Bi 0.349 0.849 0.000
Bi 0.849 0.651 0.000
Bi 0.651 0.151 0.000
Bi 0.151 0.349 0.000
CELL_PARAMETERS angstrom
7.526 0.000 0.000
0.000 7.526 0.000
0.000 0.000 5.455

(Q)
! Bi2AuCl2 | Alexandria | PBE | optimized geometry; values from VASP
! Space-group type   No. 127
! Spin magnetization   0.0 μB per cell
&SYSTEM
  ibrav = 0, nat = 10, ntyp = 3
/
ATOMIC_SPECIES
Cl 35.45 Cl.upf
Bi 208.98 Bi.upf
Au 196.97 Au.upf
ATOMIC_POSITIONS crystal
Cl 0.617 0.117 0.000
Cl 0.883 0.617 0.000
Cl 0.117 0.383 0.000
Cl 0.383 0.883 0.000
Bi 0.200 0.700 0.500
Bi 0.800 0.300 0.500
Bi 0.700 0.800 0.500
Bi 0.300 0.200 0.500
Au 0.500 0.500 0.000
Au 0.000 0.000 0.000
CELL_PARAMETERS angstrom
-7.055 -5.707 0.005
5.157 -6.372 3.891
-0.849 1.052 2.849

(R)
! Bi2AuCl2 | Alexandria | PBE | optimized geometry; values from VASP
! Space-group type   No. 139
! Spin magnetization   0.0 μB per cell
&SYSTEM
  ibrav = 0, nat = 5, ntyp = 3
/
ATOMIC_SPECIES
Cl 35.45 Cl.upf
Au 196.97 Au.upf
Bi 208.98 Bi.upf
ATOMIC_POSITIONS crystal
Cl 0.396 0.396 0.208
Cl 0.604 0.604 0.792
Au 0.000 0.000 0.000
Bi 0.250 0.750 0.500
Bi 0.750 0.250 0.500
CELL_PARAMETERS angstrom
4.434 0.000 0.000
0.000 4.434 0.000
2.217 2.217 7.699

Ordering by calculated energy gives the sequence (P), (Q), (R), with the first entry being the most stable.

(P)
! K2BiAuCl6 | Alexandria | PBE | optimized geometry; values from VASP
! Space-group type   No. 225
! Spin magnetization   0.0 μB per cell
&SYSTEM
  ibrav = 0, nat = 10, ntyp = 4
/
ATOMIC_SPECIES
K 39.10 K.upf
Cl 35.45 Cl.upf
Au 196.97 Au.upf
Bi 208.98 Bi.upf
ATOMIC_POSITIONS crystal
K 0.750 0.750 0.750
K 0.250 0.250 0.250
Cl 0.251 0.251 0.749
Cl 0.749 0.251 0.251
Cl 0.749 0.749 0.251
Cl 0.749 0.251 0.749
Cl 0.251 0.749 0.749
Cl 0.251 0.749 0.251
Au 0.500 0.500 0.500
Bi 0.000 0.000 0.000
CELL_PARAMETERS angstrom
-0.462 4.931 5.825
-5.759 -0.521 5.003
1.343 -2.382 7.141

(Q)
! K2BiAuCl6 | Alexandria | PBE | optimized geometry; values from VASP
! Space-group type   No. 1
! Spin magnetization   0.0 μB per cell
&SYSTEM
  ibrav = 0, nat = 10, ntyp = 4
/
ATOMIC_SPECIES
K 39.10 K.upf
Cl 35.45 Cl.upf
Au 196.97 Au.upf
Bi 208.98 Bi.upf
ATOMIC_POSITIONS crystal
K 0.539 0.517 0.391
K 0.028 0.008 0.951
Cl 0.578 0.214 0.213
Cl 0.459 0.695 0.723
Cl 0.730 0.104 0.741
Cl 0.226 0.968 0.229
Cl 0.006 0.543 0.230
Cl 0.150 0.419 0.779
Au 0.609 0.884 0.734
Bi 0.335 0.310 0.023
CELL_PARAMETERS angstrom
7.798 -0.168 0.291
3.762 6.566 0.157
4.089 2.135 7.106

Ordering by calculated energy gives the sequence (Q), (P), with the first entry being the most stable.

(P)
! BiPAuCl2 | Alexandria | PBE | optimized geometry; values from VASP
! Space-group type   No. 123
! Spin magnetization   0.0 μB per cell
&SYSTEM
  ibrav = 0, nat = 5, ntyp = 4
/
ATOMIC_SPECIES
Bi 208.98 Bi.upf
Cl 35.45 Cl.upf
Au 196.97 Au.upf
P 30.97 P.upf
ATOMIC_POSITIONS crystal
Bi 0.000 0.500 0.000
Cl 0.000 0.000 0.500
Cl 0.500 0.000 0.000
Au 0.500 0.500 0.500
P 0.000 0.000 0.000
CELL_PARAMETERS angstrom
4.566 0.000 0.000
0.000 6.004 0.000
0.000 0.000 4.566

(Q)
! BiPAuCl2 | Alexandria | PBE | optimized geometry; values from VASP
! Space-group type   No. 123
! Spin magnetization   0.0 μB per cell
&SYSTEM
  ibrav = 0, nat = 5, ntyp = 4
/
ATOMIC_SPECIES
Cl 35.45 Cl.upf
Au 196.97 Au.upf
Bi 208.98 Bi.upf
P 30.97 P.upf
ATOMIC_POSITIONS crystal
Cl 0.000 0.500 0.000
Cl 0.500 0.000 0.000
Au 0.000 0.000 0.000
Bi 0.500 0.500 0.500
P 0.000 0.000 0.500
CELL_PARAMETERS angstrom
4.923 0.000 0.000
0.000 4.923 0.000
0.000 0.000 5.072

(R)
! BiPAuCl2 | Alexandria | PBE | optimized geometry; values from VASP
! Space-group type   No. 123
! Spin magnetization   0.9 μB per cell
&SYSTEM
  ibrav = 0, nat = 5, ntyp = 4
/
ATOMIC_SPECIES
Au 196.97 Au.upf
P 30.97 P.upf
Cl 35.45 Cl.upf
Bi 208.98 Bi.upf
ATOMIC_POSITIONS crystal
Au 0.500 0.500 0.500
P 0.000 0.000 0.500
Cl 0.000 0.500 0.000
Cl 0.500 0.000 0.000
Bi 0.000 0.000 0.000
CELL_PARAMETERS angstrom
-3.283 1.995 3.610
-4.071 -0.823 -3.247
-0.721 -5.208 2.223

Ordering by calculated energy gives the sequence (P), (Q), (R), with the first entry being the most stable.

(P)
! Rb2BiAuCl6 | Alexandria | PBE | optimized geometry; values from VASP
! Space-group type   No. 1
! Spin magnetization   0.0 μB per cell
&SYSTEM
  ibrav = 0, nat = 10, ntyp = 4
/
ATOMIC_SPECIES
Au 196.97 Au.upf
Cl 35.45 Cl.upf
Rb 85.47 Rb.upf
Bi 208.98 Bi.upf
ATOMIC_POSITIONS crystal
Au 0.611 0.874 0.738
Cl 0.488 0.671 0.725
Cl 0.565 0.192 0.224
Cl 0.712 0.101 0.742
Cl 0.020 0.541 0.242
Cl 0.146 0.440 0.789
Cl 0.206 0.985 0.235
Rb 0.549 0.528 0.366
Rb 0.035 0.020 0.923
Bi 0.330 0.310 0.031
CELL_PARAMETERS angstrom
8.118 -0.192 0.355
3.907 6.706 0.153
4.287 2.137 7.059

(Q)
! Rb2BiAuCl6 | Alexandria | PBE | optimized geometry; values from VASP
! Space-group type   No. 225
! Spin magnetization   0.0 μB per cell
&SYSTEM
  ibrav = 0, nat = 10, ntyp = 4
/
ATOMIC_SPECIES
Cl 35.45 Cl.upf
Au 196.97 Au.upf
Bi 208.98 Bi.upf
Rb 85.47 Rb.upf
ATOMIC_POSITIONS crystal
Cl 0.749 0.251 0.251
Cl 0.251 0.251 0.749
Cl 0.749 0.251 0.749
Cl 0.749 0.749 0.251
Cl 0.251 0.749 0.749
Cl 0.251 0.749 0.251
Au 0.500 0.500 0.500
Bi 0.000 0.000 0.000
Rb 0.750 0.750 0.750
Rb 0.250 0.250 0.250
CELL_PARAMETERS angstrom
-4.110 3.322 -5.570
-7.029 2.698 1.504
-1.254 7.574 0.150

Ordering by calculated energy gives the sequence (P), (Q), with the first entry being the most stable.

(P)
! CoBi2Au | Alexandria | PBE | optimized geometry; values from VASP
! Space-group type   No. 166
! Spin magnetization   1.6 μB per cell
&SYSTEM
  ibrav = 0, nat = 4, ntyp = 3
/
ATOMIC_SPECIES
Au 196.97 Au.upf
Bi 208.98 Bi.upf
Co 58.93 Co.upf
ATOMIC_POSITIONS crystal
Au 0.500 0.500 0.500
Bi 0.911 0.911 0.266
Bi 0.089 0.089 0.734
Co 0.000 0.000 0.000
CELL_PARAMETERS angstrom
-3.347 0.187 0.879
-2.110 -2.675 -0.634
0.255 -4.521 8.763

(Q)
! CoBi2Au | Alexandria | PBE | optimized geometry; values from VASP
! Space-group type   No. 122
! Spin magnetization   0.0 μB per cell
&SYSTEM
  ibrav = 0, nat = 8, ntyp = 3
/
ATOMIC_SPECIES
Bi 208.98 Bi.upf
Au 196.97 Au.upf
Co 58.93 Co.upf
ATOMIC_POSITIONS crystal
Bi 0.875 0.828 0.750
Bi 0.172 0.625 0.250
Bi 0.578 0.125 0.250
Bi 0.375 0.422 0.750
Au 0.000 0.000 0.000
Au 0.750 0.250 0.500
Co 0.500 0.500 0.000
Co 0.250 0.750 0.500
CELL_PARAMETERS angstrom
-4.747 2.217 0.833
-1.695 -4.483 2.274
-0.830 1.422 8.372

Ordering by calculated energy gives the sequence (Q), (P), with the first entry being the most stable.